# 1
Hf2ThSc3: relaxed, PBE-GGA.

Unit cell a=8.6930 b=8.6930 c=6.2586 alpha=90.00 beta=90.00 gamma=39.81
With the nearest neighbours (Å) after each atom.
Element x y z (fractional)
Hf1 0.1435 0.1435 0.0000  6 Sc 2.97-3.15, 2 Hf 3.13
Hf2 0.1435 0.1435 0.5000  6 Sc 2.97-3.15, 2 Hf 3.13
Hf3 0.8565 0.8565 0.0000  6 Sc 2.97-3.15, 2 Hf 3.13
Hf4 0.8565 0.8565 0.5000  6 Sc 2.97-3.15, 2 Hf 3.13
Th1 0.3641 0.6359 0.7500  2 Sc 2.85-3.07
Th2 0.6359 0.3641 0.2500  2 Sc 2.85-3.07
Sc1 0.1549 0.8451 0.2500  2 Th 2.85-3.07, 4 Hf 2.97
Sc2 0.2446 0.3654 0.2500  4 Hf 3.09-3.15, 2 Sc 3.21, 1 Th 3.39
Sc3 0.3654 0.2446 0.7500  4 Hf 3.09-3.15, 2 Sc 3.21, 1 Th 3.39
Sc4 0.6346 0.7554 0.2500  4 Hf 3.09-3.15, 2 Sc 3.21, 1 Th 3.39
Sc5 0.7554 0.6346 0.7500  4 Hf 3.09-3.15, 2 Sc 3.21, 1 Th 3.39
Sc6 0.8451 0.1549 0.7500  2 Th 2.85-3.07, 4 Hf 2.97

Fermi-level density of states: 8.88 states/eV/f.u.
calculated volume: 25.23 Å³/atom
E_form: 0.23 eV/atom

# 2
TePd2Au: relaxed, PBE-GGA.

Unit cell a=3.4477 b=3.4477 c=22.8548 alpha=90.00 beta=90.00 gamma=120.00
With the nearest neighbours (Å) after each atom.
Element x y z (fractional)
Te1 0.0000 0.0000 0.0000  6 Pd 2.72-2.74
Te2 0.3333 0.6667 0.6667  6 Pd 2.72-2.74
Te3 0.6667 0.3333 0.3333  6 Pd 2.72-2.74
Pd1 0.0000 0.0000 0.4155  3 Te 2.74, 3 Au 2.79
Pd2 0.0000 0.0000 0.5855  3 Te 2.72, 3 Au 2.77
Pd3 0.3333 0.6667 0.0821  3 Te 2.74, 3 Au 2.79
Pd4 0.3333 0.6667 0.2522  3 Te 2.72, 3 Au 2.77
Pd5 0.6667 0.3333 0.7488  3 Te 2.74, 3 Au 2.79
Pd6 0.6667 0.3333 0.9188  3 Te 2.72, 3 Au 2.77
Au1 0.0000 0.0000 0.1678  6 Pd 2.77-2.79
Au2 0.3333 0.6667 0.8345  6 Pd 2.77-2.79
Au3 0.6667 0.3333 0.5011  6 Pd 2.77-2.79

energy relative to the elements, uncorrected: -7 kJ/mol of atoms
Fermi-level density of states: 1.55 states/eV/f.u.
calculated volume: 19.61 Å³/atom

# 3
SrMg2Ag9: relaxed, PBE-GGA.

Unit cell a=9.6317 b=9.6317 c=9.6317 alpha=34.30 beta=34.30 gamma=34.30
With the nearest neighbours (Å) after each atom.
Element x y z (fractional)
Sr1 0.0000 0.0000 0.0000  6 Ag 3.28
Mg1 0.1482 0.1482 0.1482  12 Ag 3.12-3.32, 3 Mg 3.43
Mg2 0.8518 0.8518 0.8518  12 Ag 3.12-3.32, 3 Mg 3.43
Ag1 0.0811 0.5899 0.5899  7 Ag 2.73-2.89
Ag2 0.3338 0.3338 0.3338  6 Ag 2.87-2.88
Ag3 0.4101 0.4101 0.9189  7 Ag 2.73-2.89
Ag4 0.4101 0.9189 0.4101  7 Ag 2.73-2.89
Ag5 0.5000 0.5000 0.5000  6 Ag 2.73
Ag6 0.5899 0.0811 0.5899  7 Ag 2.73-2.89
Ag7 0.5899 0.5899 0.0811  7 Ag 2.73-2.89
Ag8 0.6662 0.6662 0.6662  6 Ag 2.87-2.88
Ag9 0.9189 0.4101 0.4101  7 Ag 2.73-2.89

Fermi-level density of states: 4.84 states/eV/f.u.
calculated volume: 21.08 Å³/atom
E_form: -0.12 eV/atom
energy above the lowest structure with this stoichiometry: 33 meV/atom

# 4
NpTiAl: relaxed, PBE-GGA.

Unit cell a=9.6570 b=3.6421 c=6.4169 alpha=90.00 beta=106.88 gamma=90.00
With the nearest neighbours (Å) after each atom.
Element x y z (fractional)
Np1 0.1859 0.0000 0.0562  2 Np 2.43
Np2 0.3141 0.5000 0.9438  2 Np 2.43
Np3 0.6859 0.5000 0.0562  2 Np 2.43
Np4 0.8141 0.0000 0.9438  2 Np 2.43
Ti1 0.1668 0.0000 0.5776  5 Al 2.75-2.97, 2 Ti 2.80, 3 Np 2.99-3.02
Ti2 0.3332 0.5000 0.4224  5 Al 2.75-2.97, 2 Ti 2.80, 3 Np 2.99-3.02
Ti3 0.6668 0.5000 0.5776  5 Al 2.75-2.97, 2 Ti 2.80, 3 Np 2.99-3.02
Ti4 0.8332 0.0000 0.4224  5 Al 2.75-2.97, 2 Ti 2.80, 3 Np 2.99-3.02
Al1 0.0115 0.5000 0.2799  5 Ti 2.75-2.97, 1 Al 2.90, 3 Np 3.04-3.05
Al2 0.4885 0.0000 0.7201  5 Ti 2.75-2.97, 1 Al 2.90, 3 Np 3.04-3.05
Al3 0.5115 0.0000 0.2799  5 Ti 2.75-2.97, 1 Al 2.90, 3 Np 3.04-3.05
Al4 0.9885 0.5000 0.7201  5 Ti 2.75-2.97, 1 Al 2.90, 3 Np 3.04-3.05

Fermi-level density of states: 5.19 states/eV/f.u.
calculated volume: 18.00 Å³/atom
E_form: -0.13 eV/atom

# 5
Th6GeBi3P2: relaxed, PBE-GGA.

Unit cell a=9.9226 b=9.9226 c=8.9237 alpha=105.43 beta=105.43 gamma=25.20
With the nearest neighbours (Å) after each atom.
Element x y z (fractional)
Th1 0.0107 0.0107 0.2354  1 P 2.93, 2 Ge 2.98, 2 Bi 3.25
Th2 0.3240 0.3240 0.4404  3 P 2.92-2.93
Th3 0.3389 0.3389 0.8917  2 P 2.93, 1 Ge 3.00, 1 Bi 3.26
Th4 0.6611 0.6611 0.1083  2 P 2.93, 1 Ge 3.00, 1 Bi 3.26
Th5 0.6760 0.6760 0.5596  3 P 2.92-2.93
Th6 0.9893 0.9893 0.7646  1 P 2.93, 2 Ge 2.98, 2 Bi 3.25
Ge1 0.5000 0.5000 0.0000  6 Th 2.98-3.00
Bi1 0.1650 0.1650 0.8316  6 Th 3.26-3.30
Bi2 0.5000 0.5000 0.5000  6 Th 3.25-3.30
Bi3 0.8350 0.8350 0.1684  6 Th 3.26-3.30
P1 0.1676 0.1676 0.3337  6 Th 2.92-2.93
P2 0.8324 0.8324 0.6663  6 Th 2.92-2.93

Fermi-level density of states: 5.93 states/eV/f.u.
calculated volume: 29.99 Å³/atom
E_form: -0.96 eV/atom

# 6
Ho4BiSb3: relaxed, PBE-GGA.

Unit cell a=6.2033 b=6.2033 c=6.2033 alpha=90.00 beta=90.00 gamma=90.00
With the nearest neighbours (Å) after each atom.
Element x y z (fractional)
Ho1 0.0000 0.0000 0.0000  6 Sb 3.10
Ho2 0.0000 0.5000 0.5000  4 Sb 3.10, 2 Bi 3.10
Ho3 0.5000 0.0000 0.5000  4 Sb 3.10, 2 Bi 3.10
Ho4 0.5000 0.5000 0.0000  4 Sb 3.10, 2 Bi 3.10
Bi1 0.5000 0.5000 0.5000  6 Ho 3.10
Sb1 0.0000 0.0000 0.5000  6 Ho 3.10
Sb2 0.0000 0.5000 0.0000  6 Ho 3.10
Sb3 0.5000 0.0000 0.0000  6 Ho 3.10

energy relative to the elements, uncorrected: -101 kJ/mol of atoms
Fermi-level density of states: 0.50 states/eV/f.u.
calculated volume: 29.84 Å³/atom

Question: The lowest Fermi-level density of states belongs to which entry?
Answer: Ho4BiSb3

Question: What is the Fermi-level density of states in the sixth record?
Answer: 0.50 states/eV/f.u.

Question: Which of these has the highest Fermi-level density of states?
Answer: Hf2ThSc3

Question: Which formula does entry 4 have?
Answer: NpTiAl